RuPt2I after structural relaxation, computed with PBE.

As for the uncorrected formation energy: 0.8076 eV per atom. The total energy comes out at -4.9193 eV/atom.

The space group is Fm-3m (No. 225) and the conventional cell measures 6.560, 6.560 and 6.560 Å, with angles of 90.00, 90.00 and 90.00 degrees. The distinct sites, in fractional coordinates, are Ru at (0.000, 0.000, 0.000), Pt at (0.250, 0.250, 0.250) and I at (0.000, 0.000, 0.500).